! SrGaRe2 (PBE-GGA, optimized geometry); values from VASP
! energy relative to the elements = 3.16 eV per formula unit
&SYSTEM
  ibrav = 0, nat = 8, ntyp = 3
/
ATOMIC_SPECIES
Re 186.21 Re.upf
Ga 69.72 Ga.upf
Sr 87.62 Sr.upf
ATOMIC_POSITIONS crystal
Re 0.304 0.125 0.250
Re 0.446 0.625 0.250
Re 0.375 0.696 0.750
Re 0.875 0.554 0.750
Ga 0.500 0.500 0.000
Ga 0.250 0.750 0.500
Sr 0.000 0.000 0.000
Sr 0.750 0.250 0.500
CELL_PARAMETERS angstrom
-3.079 -3.230 1.231
-1.057 -0.690 -4.454
4.488 -8.420 -2.167

! ScPd3Ru (PBE-GGA, optimized geometry); values from VASP
! energy relative to the elements = 3.63 eV per formula unit
! ΔE to the lowest computed polymorph = 0.000 eV per atom
&SYSTEM
  ibrav = 0, nat = 5, ntyp = 3
/
ATOMIC_SPECIES
Sc 44.96 Sc.upf
Ru 101.07 Ru.upf
Pd 106.42 Pd.upf
ATOMIC_POSITIONS crystal
Sc 0.500 0.500 0.500
Ru 0.000 0.000 0.000
Pd 0.000 0.500 0.000
Pd 0.000 0.000 0.500
Pd 0.500 0.000 0.000
CELL_PARAMETERS angstrom
-2.288 4.119 0.781
-3.757 -2.410 1.701
1.861 0.201 4.395

! La8PrHo4 (PBE-GGA, optimized geometry); values from VASP
! energy relative to the elements = 1.97 eV per formula unit
&SYSTEM
  ibrav = 0, nat = 13, ntyp = 3
/
ATOMIC_SPECIES
La 138.91 La.upf
Pr 140.91 Pr.upf
Ho 164.93 Ho.upf
ATOMIC_POSITIONS crystal
La 0.576 0.788 0.364
La 0.424 0.212 0.636
La 0.492 0.246 0.290
La 0.956 0.202 0.710
La 0.508 0.754 0.710
La 0.956 0.754 0.710
La 0.044 0.246 0.290
La 0.044 0.798 0.290
Pr 0.000 0.500 0.500
Ho 0.000 0.000 0.000
Ho 0.000 0.500 0.000
Ho 0.500 0.500 0.000
Ho 0.500 0.000 0.000
CELL_PARAMETERS angstrom
6.440 0.000 -3.475
-4.157 6.022 0.000
1.550 1.071 10.579

! DyTmMgZr (PBE-GGA, optimized geometry); values from VASP
! energy relative to the elements = 0.52 eV per formula unit
&SYSTEM
  ibrav = 0, nat = 4, ntyp = 4
/
ATOMIC_SPECIES
Mg 24.30 Mg.upf
Tm 168.93 Tm.upf
Zr 91.22 Zr.upf
Dy 162.50 Dy.upf
ATOMIC_POSITIONS crystal
Mg 0.000 0.000 0.000
Tm 0.750 0.750 0.750
Zr 0.500 0.500 0.500
Dy 0.250 0.250 0.250
CELL_PARAMETERS angstrom
-1.066 2.122 4.764
1.314 -2.627 4.439
3.968 1.779 3.069

! KRb5NaHg2 (PBE-GGA, optimized geometry); values from VASP
! energy relative to the elements = -0.38 eV per formula unit
&SYSTEM
  ibrav = 0, nat = 9, ntyp = 4
/
ATOMIC_SPECIES
K 39.10 K.upf
Rb 85.47 Rb.upf
Na 22.99 Na.upf
Hg 200.59 Hg.upf
ATOMIC_POSITIONS crystal
K 0.500 0.500 0.500
Rb 0.000 0.000 0.500
Rb 0.000 0.500 0.806
Rb 0.500 0.000 0.194
Rb 0.000 0.500 0.194
Rb 0.500 0.000 0.806
Na 0.000 0.000 0.000
Hg 0.000 0.000 0.236
Hg 0.000 0.000 0.764
CELL_PARAMETERS angstrom
7.074 0.000 0.000
0.000 7.074 0.000
0.000 0.000 13.195

! NaCa6Ni2 (PBE-GGA, optimized geometry); values from VASP
! energy relative to the elements = -0.47 eV per formula unit
&SYSTEM
  ibrav = 0, nat = 18, ntyp = 3
/
ATOMIC_SPECIES
Na 22.99 Na.upf
Ca 40.08 Ca.upf
Ni 58.69 Ni.upf
ATOMIC_POSITIONS crystal
Na 0.000 0.500 0.500
Na 0.000 0.000 0.000
Ca 0.519 0.819 0.700
Ca 0.481 0.181 0.300
Ca 0.118 0.819 0.300
Ca 0.882 0.181 0.700
Ca 0.778 0.002 0.224
Ca 0.222 0.998 0.776
Ca 0.222 0.446 0.224
Ca 0.778 0.554 0.776
Ca 0.691 0.321 0.012
Ca 0.309 0.679 0.988
Ca 0.309 0.321 0.630
Ca 0.691 0.679 0.370
Ni 0.500 0.111 0.611
Ni 0.500 0.889 0.389
Ni 0.616 0.616 0.000
Ni 0.384 0.384 0.000
CELL_PARAMETERS angstrom
-2.677 -1.063 -8.507
7.257 5.287 0.198
2.356 -7.770 3.839

! Rb3Ce3ZnTe8 (PBE-GGA, optimized geometry); values from VASP
! E_form (uncorrected) = -1074 meV per atom
&SYSTEM
  ibrav = 0, nat = 15, ntyp = 4
/
ATOMIC_SPECIES
Rb 85.47 Rb.upf
Ce 140.12 Ce.upf
Zn 65.41 Zn.upf
Te 127.60 Te.upf
ATOMIC_POSITIONS crystal
Rb 0.000 0.000 0.000
Rb 0.000 0.500 0.000
Rb 0.500 0.500 0.000
Ce 0.500 0.000 0.500
Ce 0.500 0.500 0.500
Ce 0.000 0.500 0.500
Zn 0.000 0.000 0.500
Te 0.264 0.529 0.296
Te 0.736 0.471 0.704
Te 0.803 0.606 0.328
Te 0.197 0.394 0.672
Te 0.752 0.045 0.293
Te 0.248 0.955 0.707
Te 0.293 0.045 0.293
Te 0.707 0.955 0.707
CELL_PARAMETERS angstrom
-7.724 -0.555 -5.354
1.807 -6.069 6.300
-3.042 8.687 3.488

! MnHgRuS (PBE-GGA, optimized geometry); values from VASP
! E_form (uncorrected) = 109 meV per atom
! ΔE to the lowest computed polymorph = 0.026 eV per atom
&SYSTEM
  ibrav = 0, nat = 4, ntyp = 4
/
ATOMIC_SPECIES
Ru 101.07 Ru.upf
S 32.06 S.upf
Mn 54.94 Mn.upf
Hg 200.59 Hg.upf
ATOMIC_POSITIONS crystal
Ru 0.000 0.500 0.217
S 0.000 0.000 0.968
Mn 0.500 0.500 0.867
Hg 0.500 0.000 0.506
CELL_PARAMETERS angstrom
-0.099 1.711 2.641
1.672 -2.135 1.446
5.640 3.170 -1.842

What is the formula in the fifth record?
KRb5NaHg2